Record 1
VASP calculation (PBE) on a geometry-optimized Zn2InAg structure.

a b c (Å): 4.169 4.169 18.725
angles (deg): 90.00 90.00 90.00
Space group I-42d (No. 122)
Unique sites:
1 Zn 0.219 0.250 0.125 [8 per cell]
2 In 0.000 0.000 0.500 [4 per cell]
3 Ag 0.000 0.000 0.000 [4 per cell]

Results
N(E_F) = 0.39 states/eV/atom
total DFT energy (no corrections) = -1.911 eV per atom

Record 2
VASP calculation (PBE) on a geometry-optimized Zn2InAg2 structure.

a b c (Å): 4.006 4.006 12.379
angles (deg): 90.00 90.00 90.00
Space group I4/mmm (No. 139)
Unique sites:
1 Zn 0.000 0.000 0.100 [4 per cell]
2 In 0.000 0.000 0.500 [2 per cell]
3 Ag 0.000 0.500 0.250 [4 per cell]

Results
N(E_F) = 0.36 states/eV/atom
relative energy among the computed polymorphs = 89 meV per atom

Record 3
VASP calculation (PBE) on a geometry-optimized Zn6InAg8 structure.

a b c (Å): 7.6890 7.6890 16.0134
angles (deg): 90.00 90.00 120.00
Space group R-3 (No. 148, hexagonal axes)
Unique sites:
1 Zn 0.0118 0.7219 0.3754 [18 per cell]
2 In 0.0000 0.0000 0.0000 [3 per cell]
3 Ag 0.0000 0.0000 0.2563 [6 per cell]
4 Ag 0.0168 0.3072 0.1251 [18 per cell]

Results
N(E_F) = 0.25 states/eV/atom
total DFT energy (no corrections) = -2.164 eV per atom

Record 4
VASP calculation (PBE) on a geometry-optimized ZnIn2Ag8 structure.

a b c (Å): 15.058 4.235 6.639
angles (deg): 90.00 106.44 90.00
Space group C2/m (No. 12)
Unique sites:
1 Zn 0.000 0.000 0.000 [2 per cell]
2 In 0.222 0.500 0.647 [4 per cell]
3 Ag 0.042 0.500 0.731 [4 per cell]
4 Ag 0.088 0.000 0.443 [4 per cell]
5 Ag 0.134 0.500 0.179 [4 per cell]
6 Ag 0.176 0.000 0.913 [4 per cell]

Results
N(E_F) = 0.18 states/eV/atom
relative energy among the computed polymorphs = 0 meV per atom

Record 5
VASP calculation (PBE) on a geometry-optimized Zn3In2Ag8 structure.

a b c (Å): 9.525 2.942 9.811
angles (deg): 90.00 118.94 90.00
Space group P2/m (No. 10)
Unique sites:
1 Zn 0.000 0.000 0.000 [1 per cell]
2 Zn 0.067 0.500 0.772 [2 per cell]
3 In 0.466 0.000 0.640 [2 per cell]
4 Ag 0.166 0.500 0.549 [2 per cell]
5 Ag 0.207 0.000 0.307 [2 per cell]
6 Ag 0.288 0.500 0.085 [2 per cell]
7 Ag 0.347 0.000 0.860 [2 per cell]

Results
N(E_F) = 0.25 states/eV/atom
total DFT energy (no corrections) = -2.445 eV per atom

Record 6
VASP calculation (PBE) on a geometry-optimized Zn2In2Ag structure.

a b c (Å): 6.967 6.967 4.256
angles (deg): 90.00 90.00 90.00
Space group P4/mbm (No. 127)
Unique sites:
1 Zn 0.132 0.368 0.000 [4 per cell]
2 In 0.174 0.674 0.500 [4 per cell]
3 Ag 0.000 0.000 0.000 [2 per cell]

Results
N(E_F) = 0.36 states/eV/atom
relative energy among the computed polymorphs = 18 meV per atom